VASP calculation (PBE-GGA) on a relaxed structure of PmNbSi2.

The structure in extended XYZ format:
```
16
Lattice="7.2505 0.0000 0.0000 0.0000 3.9119 0.0000 0.0000 0.0000 11.3988" Properties=species:S:1:pos:R:3 pbc="T T T"
Pm 0.9640 0.9780 1.6436
Pm 2.6612 2.9339 7.3430
Pm 4.5892 0.9780 4.0557
Pm 6.2865 2.9339 9.7551
Nb 0.8897 0.9780 5.1105
Nb 2.7355 2.9339 10.8098
Nb 4.5149 0.9780 0.5889
Nb 6.3608 2.9339 6.2883
Si 0.2410 0.9780 7.6498
Si 1.3549 0.9780 9.7720
Si 2.2703 2.9339 4.0726
Si 3.3843 2.9339 1.9504
Si 3.8662 0.9780 9.4483
Si 4.9801 0.9780 7.3261
Si 5.8956 2.9339 1.6267
Si 7.0095 2.9339 3.7489
```

Computed properties:
Total magnetic moment, μB per formula unit: 0.00
Crystal system: orthorhombic
Total energy, eV per atom: -7.00
Uncorrected formation energy, meV per atom: -580